[1]
First-principles (meta-GGA SCAN) data for a PBEsol-optimized structure of YH3O3, as listed in Alexandria.

```
14
Lattice="3.488 0.000 0.000 0.000 6.225 0.000 0.000 -3.113 5.391" Properties=species:S:1:pos:R:3 pbc="T T T"
H 2.616 -0.051 1.500
H 2.616 -1.788 4.686
H 2.616 1.839 4.597
H 0.872 3.164 3.891
H 0.872 4.900 0.705
H 0.872 1.273 0.795
O 0.872 2.410 3.267
O 2.616 0.703 2.124
O 0.872 4.737 1.671
O 2.616 -1.624 3.720
O 0.872 2.191 0.453
O 2.616 0.922 4.938
Y 0.872 0.000 3.594
Y 2.616 3.113 1.797
```

space-group type	P6_3/m, No. 176
DOS(E_F)	0.00	states/eV per atom
energy	-10.263	eV per atom

=====

[2]
First-principles (meta-GGA SCAN) data for a PBEsol-optimized structure of Bi4Ir, as listed in Alexandria.

```
45
Lattice="-1.371 -6.810 -1.406 6.278 -1.658 13.813 -14.232 5.469 -0.702" Properties=species:S:1:pos:R:3 pbc="T T T"
Bi 4.384 -5.579 10.638
Bi -8.645 1.206 0.888
Bi -5.223 -4.402 7.987
Bi 1.000 -1.491 11.638
Bi -11.084 -0.589 3.454
Bi 1.759 -2.410 8.251
Bi -10.729 2.962 -0.741
Bi -5.633 -2.454 3.765
Bi -3.688 -2.617 10.873
Bi -1.979 0.140 11.454
Bi -2.654 -1.861 2.837
Bi -2.904 -1.698 -0.657
Bi -5.637 -0.382 0.832
Bi -10.325 -1.508 0.067
Bi -7.346 -3.139 0.251
Bi -4.874 -4.303 -1.367
Bi 1.705 -5.688 8.580
Bi -6.922 1.701 10.616
Bi -9.751 -0.510 6.582
Bi -6.671 -1.137 8.868
Bi 4.420 -2.302 9.980
Bi 0.150 -5.744 5.556
Bi -12.699 0.357 -1.451
Bi -0.680 -4.204 10.817
Bi -11.031 2.689 3.125
Bi 0.523 -2.889 1.769
Bi -6.302 0.362 6.093
Bi 0.487 -6.166 2.427
Bi -4.102 1.403 3.717
Bi -3.693 -0.545 7.940
Bi 0.426 -2.489 5.123
Bi -2.404 -4.699 1.089
Bi -3.023 -3.361 5.612
Bi -1.686 0.564 5.428
Bi -9.476 2.745 6.149
Bi -7.639 -3.562 6.277
Ir -4.669 -2.987 1.157
Ir 2.453 -4.234 6.203
Ir -1.201 -4.192 3.611
Ir -3.977 1.906 6.556
Ir -7.802 -0.671 -1.054
Ir -8.124 1.194 8.093
Ir 2.124 -3.858 10.656
Ir -11.450 0.859 1.049
Ir -4.657 -0.011 10.548
```

space-group type	R-3m, No. 166
DOS(E_F)	0.24	states/eV per atom
energy	-77.018	eV per atom
energy of formation from the pure elements	66	meV/atom

=====

[3]
First-principles (meta-GGA SCAN) data for a PBEsol-optimized structure of MgTiCrBr2, as listed in Alexandria.

```
5
Lattice="4.621 0.000 0.000 0.000 4.940 0.000 0.000 0.000 4.940" Properties=species:S:1:pos:R:3 pbc="T T T"
Br 0.000 0.000 2.470
Br 0.000 2.470 0.000
Cr 0.000 0.000 0.000
Mg 2.311 2.470 2.470
Ti 2.311 0.000 0.000
```

space-group type	P4/mmm, No. 123
DOS(E_F)	0.53	states/eV per atom
energy	-15.303	eV per atom

=====

[4]
First-principles (meta-GGA SCAN) data for a PBEsol-optimized structure of CaTaIn2, as listed in Alexandria.

```
4
Lattice="-0.174 -2.898 0.980 3.043 -0.062 0.357 -0.998 3.116 9.041" Properties=species:S:1:pos:R:3 pbc="T T T"
Ta -0.481 1.502 4.358
In -0.012 0.036 0.105
In 1.170 -0.656 3.060
Ca 0.694 0.831 7.375
```

space-group type	P4mm, No. 99
DOS(E_F)	0.75	states/eV per atom
energy	-35.529	eV per atom
energy of formation from the pure elements	226	meV/atom

=====

[5]
First-principles (meta-GGA SCAN) data for a PBEsol-optimized structure of AgTeRh2, as listed in Alexandria.

```
4
Lattice="3.214 0.000 0.000 0.000 4.488 -0.079 -1.607 -1.246 4.577" Properties=species:S:1:pos:R:3 pbc="T T T"
Rh 0.000 0.161 0.044
Rh 0.000 2.503 2.104
Ag 1.607 0.264 2.292
Te 1.607 2.558 0.019
```

space-group type	Cm, No. 8
DOS(E_F)	0.87	states/eV per atom
energy	-33.954	eV per atom

=====

[6]
First-principles (meta-GGA SCAN) data for a PBEsol-optimized structure of CaFe2BrF, as listed in Alexandria.

```
5
Lattice="4.077 0.000 0.000 0.000 4.077 0.000 0.000 0.000 5.276" Properties=species:S:1:pos:R:3 pbc="T T T"
Ca 0.000 0.000 2.638
F 0.000 0.000 0.000
Br 2.039 2.039 2.638
Fe 0.000 2.039 0.000
Fe 2.039 0.000 0.000
```

space-group type	P4/mmm, No. 123
DOS(E_F)	0.91	states/eV per atom
energy	-14.092	eV per atom

=====

[7]
First-principles (meta-GGA SCAN) data for a PBEsol-optimized structure of Pr4Ga2O9, as listed in Alexandria.

```
60
Lattice="7.824 0.000 0.002 0.000 11.043 0.000 -3.794 0.000 10.885" Properties=species:S:1:pos:R:3 pbc="T T T"
Pr -0.940 1.340 6.418
Pr 0.957 4.182 0.976
Pr 6.899 0.961 2.099
Pr -2.870 10.082 8.788
Pr 2.920 1.142 2.371
Pr 1.109 9.901 8.516
Pr -0.972 6.482 3.346
Pr 5.002 4.561 7.541
Pr 4.946 4.178 0.803
Pr 1.023 4.380 7.814
Pr 3.048 1.344 6.245
Pr 3.072 6.861 9.911
Pr 4.969 9.703 4.469
Pr 0.981 9.699 4.642
Pr 3.006 6.663 3.074
Pr -0.916 6.865 10.084
O -0.819 5.876 7.349
O 6.830 5.580 1.141
O 2.973 2.751 4.225
O 2.954 8.272 1.220
O 3.293 8.603 8.152
O 1.364 8.529 10.447
O -1.232 8.094 5.167
O 0.768 3.007 5.883
O 1.086 0.115 6.540
O 1.096 5.153 3.478
O -2.800 5.463 9.746
O 4.830 10.674 1.967
O 7.159 2.572 0.278
O 1.057 8.292 6.662
O -1.161 3.081 8.178
O 1.078 10.688 1.907
O 1.046 5.637 9.789
O -3.129 8.470 10.609
O -0.903 0.058 4.304
O 5.103 2.450 2.528
O 0.736 2.440 2.735
O -1.074 8.592 8.359
O 2.983 5.406 1.098
O 2.943 10.927 4.347
O -0.801 0.369 8.921
O 2.952 0.355 8.981
O 1.076 2.771 9.667
O 0.823 7.972 2.916
O 3.206 3.071 7.971
O 4.849 5.167 3.538
O 5.262 2.949 5.720
O 2.665 2.514 0.440
O 3.261 8.035 5.004
O 5.190 7.961 2.709
O 2.933 5.890 7.409
O 4.932 10.985 6.583
Ga 1.239 3.459 4.187
Ga 4.687 8.981 1.257
Ga 2.790 7.583 6.700
Ga -0.658 2.062 9.630
Ga 2.811 2.098 9.500
Ga 1.219 8.944 1.387
Ga -0.678 7.620 6.829
Ga 4.708 3.423 4.058
```

space-group type	P2_1/c, No. 14
DOS(E_F)	0.00	states/eV per atom
energy	-20.637	eV per atom

=====

[8]
First-principles (meta-GGA SCAN) data for a PBEsol-optimized structure of TiBeI3, as listed in Alexandria.

```
5
Lattice="-4.579 0.907 -2.855 -2.523 -3.979 2.782 -1.615 3.645 3.748" Properties=species:S:1:pos:R:3 pbc="T T T"
Ti 0.000 0.000 0.000
I -1.261 -1.990 1.391
I -0.808 1.822 1.874
I -2.289 0.453 -1.428
Be -4.359 0.286 1.838
```

space-group type	Pm-3m, No. 221
DOS(E_F)	0.56	states/eV per atom
energy	-25.920	eV per atom

=====

[9]
First-principles (meta-GGA SCAN) data for a PBEsol-optimized structure of SmErHg2, as listed in Alexandria.

```
4
Lattice="5.196 0.000 0.000 2.598 4.500 0.000 2.598 1.500 4.243" Properties=species:S:1:pos:R:3 pbc="T T T"
Er 5.196 3.000 2.121
Sm 0.000 0.000 0.000
Hg 2.598 1.500 1.061
Hg 7.794 4.500 3.182
```

space-group type	Fm-3m, No. 225
DOS(E_F)	0.61	states/eV per atom
energy	-58.474	eV per atom
energy of formation from the pure elements	-696	meV/atom

=====

[10]
First-principles (meta-GGA SCAN) data for a PBEsol-optimized structure of AlCr2Pt, as listed in Alexandria.

```
4
Lattice="4.215 0.000 0.000 2.107 3.650 0.000 2.107 1.217 3.441" Properties=species:S:1:pos:R:3 pbc="T T T"
Al 4.215 2.433 1.721
Cr 6.322 3.650 2.581
Cr 0.000 0.000 0.000
Pt 2.107 1.217 0.860
```

space-group type	F-43m, No. 216
DOS(E_F)	0.45	states/eV per atom
energy	-29.305	eV per atom
energy of formation from the pure elements	-626	meV/atom

=====

[11]
First-principles (meta-GGA SCAN) data for a PBEsol-optimized structure of LiCuPO4, as listed in Alexandria.

```
28
Lattice="5.517 -0.118 0.174 0.870 6.148 0.186 1.260 2.768 8.861" Properties=species:S:1:pos:R:3 pbc="T T T"
Li 2.675 1.289 2.923
Li 4.870 4.652 6.124
Li 2.778 4.146 3.097
Li 4.972 7.510 6.298
O 6.237 6.052 6.036
O 2.956 4.994 6.226
O 4.693 1.317 3.417
O 5.248 2.909 5.264
O 4.692 3.804 2.995
O 2.955 7.481 5.804
O 2.367 2.881 7.896
O 2.400 5.890 3.956
O 2.431 6.721 8.491
O 4.915 7.148 8.361
O 5.217 2.077 0.730
O 2.733 1.650 0.860
O 2.349 5.182 1.519
O 5.298 3.616 7.702
O 1.411 2.747 3.185
O 5.280 5.917 1.324
Cu 6.590 6.088 2.740
Cu 2.668 4.806 8.211
Cu 1.058 2.710 6.481
Cu 4.980 3.992 1.009
P 4.067 1.098 0.361
P 5.455 2.656 3.719
P 3.581 7.700 8.860
P 2.193 6.142 5.501
```

space-group type	P-1, No. 2
polymorph energy (0 for the lowest one)	0.02	eV/f.u.
energy	-9.621	eV per atom

=====

[12]
First-principles (meta-GGA SCAN) data for a PBEsol-optimized structure of BePtRh2, as listed in Alexandria.

```
4
Lattice="-2.163 -1.151 -1.205 -0.722 -1.132 2.377 -3.629 5.319 1.431" Properties=species:S:1:pos:R:3 pbc="T T T"
Rh -2.882 4.224 1.136
Rh -0.747 1.095 0.295
Be -1.442 -1.142 0.586
Pt -3.257 1.518 1.301
```

space-group type	P4/mmm, No. 123
DOS(E_F)	0.98	states/eV per atom
energy	-35.904	eV per atom
energy of formation from the pure elements	-382	meV/atom

=====

> Which value of energy does entry 6 give?

-14.092 eV per atom

=====

> Which value of energy does entry 8 give?

-25.920 eV per atom

=====

> Among the records above, which one has the lowest energy?

Bi4Ir